{"formula": "BaHg2As", "functional": "PBE-GGA", "state": "relaxed", "lattice": [[4.0295, -0.0108, 0.0000], [0.0111, 4.0296, 0.0000], [0.0000, 0.0000, 7.2873]], "species": ["As", "Hg", "Hg", "Ba"], "fractional_positions": [[0.0000, 0.0000, 0.4638], [0.0000, 0.0000, 0.0545], [0.5000, 0.5000, 0.2545], [0.5000, 0.5000, 0.7273]], "dos_ef_per_ev_cell": 2.837, "m_tot_mub_per_fu": 0.00, "energy_ev_per_atom": -2.10, "e_form_ev_per_atom": -0.31}